First-principles (GGA-PBE) data for K2BaIrCl8 after structural relaxation, as listed in Alexandria via LeMat-Bulk.

abc: 5.7637 9.0566 7.6335
angles: 90.00 108.42 90.00
Fractional coordinates of all 12 atoms:
K 0.0000 0.2423 0.0000
K 0.0000 0.7577 0.0000
Ba 0.5000 0.5000 0.5000
Ir 0.5000 0.0000 0.5000
Cl 0.0381 0.5000 0.7508
Cl 0.0940 0.0000 0.3216
Cl 0.4332 0.1884 0.6944
Cl 0.4332 0.8116 0.6944
Cl 0.5668 0.1884 0.3056
Cl 0.5668 0.8116 0.3056
Cl 0.9060 0.0000 0.6784
Cl 0.9619 0.5000 0.2492

Calculated values
- formation energy without anion corrections (eV per atom) = -1.4237
- DFT total energy (eV per cell) = -44.836
- N(E_F) (states/eV per cell) = 5.91
- spin magnetization (μB per formula unit) = 1.08